Entry 1:
The following is a SCAN calculation of a crystal of SrYIn2Tc relaxed with PBEsol, from Alexandria.

Properties
The value obtained for the volume is 183.1 Å³/cell. The total magnetic moment comes out at 2.8 Bohr magnetons per cell. For the formation enthalpy at 0 K, the calculation gives 7.10 eV per formula unit.

Lattice parameters (Å, degrees): 5.5862 5.5862 5.8673 90.00 90.00 90.00
Closest atoms and distances in Å follow each position.
Positions (direct):
1 Sr 0.0000 0.0000 0.0000  2 Y 2.93
2 Y 0.0000 0.0000 0.5000  4 In 2.79, 2 Sr 2.93
3 In 0.0000 0.5000 0.5000  2 Y 2.79
4 In 0.5000 0.0000 0.5000  2 Y 2.79
5 Tc 0.5000 0.5000 0.0000  4 Sr 3.95, 8 In 4.05

Entry 2:
The following is a SCAN calculation of a crystal of SrIn2Te relaxed with PBEsol, from Alexandria.

Properties
The value obtained for the volume is 129.6 Å³/cell. The total magnetic moment comes out at 0.0 Bohr magnetons per cell. For the uncorrected formation energy, the calculation gives -288 meV per atom.

Lattice parameters (Å, degrees): 9.1929 9.1929 9.1929 25.80 25.80 25.80
Closest atoms and distances in Å follow each position.
Positions (direct):
1 Sr 0.0000 0.0000 0.0000  6 In 3.46
2 In 0.2389 0.2389 0.2389  3 Te 3.05
3 In 0.7611 0.7611 0.7611  3 Te 3.05
4 Te 0.5000 0.5000 0.5000  6 In 3.05

Entry 3:
The following is a SCAN calculation of a crystal of Sr2InTe relaxed with PBEsol, from Alexandria.

Properties
The value obtained for the volume is 129.0 Å³/cell. The total magnetic moment comes out at 0.0 Bohr magnetons per cell. The distance to the lowest polymorph of the same formula comes out at 3 kJ/mol of formula units. For the uncorrected formation energy, the calculation gives -955 meV per atom.

Lattice parameters (Å, degrees): 5.6785 5.6785 4.0010 90.00 90.00 90.00
Closest atoms and distances in Å follow each position.
Positions (direct):
1 Sr 0.0000 0.5000 0.0000  4 In 3.47, 4 Te 3.47
2 Sr 0.5000 0.0000 0.0000  4 In 3.47, 4 Te 3.47
3 In 0.0000 0.0000 0.5000  8 Sr 3.47
4 Te 0.5000 0.5000 0.5000  8 Sr 3.47

Entry 4:
The following is a SCAN calculation of a crystal of Sr2InTe relaxed with PBEsol, from Alexandria.

Properties
The value obtained for the volume is 127.6 Å³/cell. The total magnetic moment comes out at 0.0 Bohr magnetons per cell. The distance to the lowest polymorph of the same formula comes out at 2 kJ/mol of formula units. For the uncorrected formation energy, the calculation gives -959 meV per atom.

Lattice parameters (Å, degrees): 5.7394 5.7394 3.9487 90.00 90.00 101.26
Closest atoms and distances in Å follow each position.
Positions (direct):
1 Sr 0.0000 0.5000 0.0000  4 In 3.48, 4 Te 3.48, 2 Sr 3.64
2 Sr 0.5000 0.0000 0.0000  4 In 3.48, 4 Te 3.48, 2 Sr 3.64
3 In 0.0000 0.0000 0.5000  8 Sr 3.48, 2 Te 3.64
4 Te 0.5000 0.5000 0.5000  8 Sr 3.48, 2 In 3.64